# CsAlTc

A relaxed structure of CsAlTc (PBE-GGA, OQMD).

```
CsAlTc
1.0
0.000 3.829 3.829
3.829 0.000 3.829
3.829 3.829 0.000
Cs Al Tc
1 1 1
Cartesian
0.000 0.000 0.000 Cs
5.744 5.744 5.744 Al
1.915 1.915 1.915 Tc
```

Output
- Total DFT energy (no corrections): -2.75 eV per atom
- Symmetry: F-43m, No. 216
- Magnetization: 1.052 μB per atom
- Polymorph energy (0 for the lowest one): 744 meV/atom

---

# KCuMoSeS2

A relaxed structure of KCuMoSeS2 (PBE-GGA, OQMD).

```
KCuMoSeS2
1.0
1.864 -7.373 0.000
1.864 7.373 0.000
0.000 0.000 9.698
K Cu Mo Se S
2 2 2 2 4
Cartesian
1.864 3.906 7.273 K
1.864 -3.906 2.424 K
1.864 0.431 2.424 Cu
1.864 -0.431 7.273 Cu
0.000 0.000 0.000 Mo
0.000 0.000 4.849 Mo
1.864 6.241 2.424 Se
1.864 -6.241 7.273 Se
1.864 1.594 0.506 S
1.864 1.594 4.343 S
1.864 -1.594 5.355 S
1.864 -1.594 9.192 S
```

Output
- Total DFT energy (no corrections): -5.15 eV per atom
- Symmetry: Cmcm, No. 63
- Magnetization: 0.333 μB per atom

---

# Er4TmLu2Ni2Te2

A relaxed structure of Er4TmLu2Ni2Te2 (PBE-GGA, OQMD).

```
Er4TmLu2Ni2Te2
1.0
-1.910 7.680 4.726
1.910 -7.680 4.726
1.910 7.680 -4.726
Er Tm Lu Ni Te
4 1 2 2 2
Cartesian
0.000 2.068 0.000 Er
0.000 5.429 1.388 Er
0.000 9.930 1.388 Er
0.000 13.292 0.000 Er
0.000 0.000 3.951 Tm
1.910 -2.846 2.785 Lu
1.910 2.846 2.785 Lu
1.910 4.053 -0.126 Ni
0.000 3.626 4.600 Ni
1.910 0.000 1.433 Te
0.000 0.000 7.150 Te
```

Output
- Total DFT energy (no corrections): -5.16 eV per atom
- Symmetry: Imm2, No. 44
- Magnetization: 0.001 μB per atom
- Polymorph energy (0 for the lowest one): 0 meV/atom

---

# BeInNiPt

A relaxed structure of BeInNiPt (PBE-GGA, OQMD).

```
BeInNiPt
1.0
0.000 3.031 3.031
3.031 0.000 3.031
3.031 3.031 0.000
Be In Ni Pt
1 1 1 1
Cartesian
0.000 0.000 0.000 Be
1.515 1.515 1.515 In
3.031 3.031 3.031 Ni
4.546 4.546 4.546 Pt
```

Output
- Total DFT energy (no corrections): -4.69 eV per atom
- Symmetry: F-43m, No. 216
- Magnetization: 0.000 μB per atom
- Polymorph energy (0 for the lowest one): 42 meV/atom

---

# Zr2AlC

A relaxed structure of Zr2AlC (PBE-GGA, OQMD).

```
Zr2AlC
1.0
4.989 -2.882 0.000
4.989 2.882 0.000
-3.325 0.000 14.599
Zr Al C
12 6 6
Cartesian
2.495 2.403 8.571 Zr
2.495 2.403 13.328 Zr
2.494 0.479 1.266 Zr
2.495 0.480 6.034 Zr
0.832 -0.479 8.565 Zr
0.833 -0.480 13.333 Zr
5.820 0.480 1.266 Zr
5.821 0.479 6.034 Zr
4.158 -0.480 8.565 Zr
4.158 -0.479 13.333 Zr
4.158 -2.403 1.271 Zr
4.157 -2.403 6.029 Zr
-0.814 0.498 10.949 Al
0.848 -0.498 3.650 Al
2.495 0.475 10.949 Al
4.157 -0.475 3.650 Al
5.804 0.498 10.949 Al
7.467 -0.498 3.650 Al
0.832 1.441 7.300 C
4.158 1.442 0.000 C
4.157 1.442 7.300 C
2.494 -1.441 0.000 C
2.496 -1.442 7.300 C
5.819 -1.442 0.000 C
```

Output
- Total DFT energy (no corrections): -8.16 eV per atom
- Symmetry: C2/c, No. 15
- Magnetization: 0.000 μB per atom

---

# ScTaO4

A relaxed structure of ScTaO4 (PBE-GGA, OQMD).

```
ScTaO4
1.0
-3.436 3.436 3.290
3.436 -3.436 3.290
3.436 3.436 -3.290
Sc Ta O
2 2 8
Cartesian
3.436 1.718 0.823 Sc
0.000 1.718 2.468 Sc
3.436 -1.718 2.468 Ta
0.000 5.154 0.823 Ta
3.436 -0.304 1.274 O
3.436 3.132 -1.274 O
1.414 1.718 0.371 O
2.022 -1.718 3.662 O
1.414 5.154 -0.371 O
2.022 1.718 2.919 O
0.000 0.304 4.564 O
0.000 3.740 2.017 O
```

Output
- Total DFT energy (no corrections): -9.33 eV per atom
- Symmetry: I4_1/amd, No. 141
- Magnetization: 0.000 μB per atom

---

# PuAlAs

A relaxed structure of PuAlAs (PBE-GGA, OQMD).

```
PuAlAs
1.0
0.000 3.245 3.245
3.245 0.000 3.245
3.245 3.245 0.000
Pu Al As
1 1 1
Cartesian
0.000 0.000 0.000 Pu
4.867 4.867 4.867 Al
1.622 1.622 1.622 As
```

Output
- Total DFT energy (no corrections): -7.57 eV per atom
- Symmetry: F-43m, No. 216
- Magnetization: 1.883 μB per atom

---

# Pu2TlOs

A relaxed structure of Pu2TlOs (PBE-GGA, OQMD).

```
Pu2TlOs
1.0
3.233 0.000 0.000
0.000 3.233 0.000
0.000 0.000 8.821
Pu Tl Os
2 1 1
Cartesian
0.000 0.000 1.807 Pu
0.000 0.000 7.014 Pu
1.616 1.616 4.411 Tl
1.616 1.616 0.000 Os
```

Output
- Total DFT energy (no corrections): -10.65 eV per atom
- Symmetry: P4/mmm, No. 123
- Magnetization: 2.478 μB per atom

---

# LuTlCu2

A relaxed structure of LuTlCu2 (PBE-GGA, OQMD).

```
LuTlCu2
1.0
0.000 3.320 3.320
3.320 0.000 3.320
3.320 3.320 0.000
Lu Tl Cu
1 1 2
Cartesian
0.000 0.000 0.000 Lu
4.980 4.980 4.980 Tl
1.660 1.660 1.660 Cu
3.320 3.320 3.320 Cu
```

Output
- Total DFT energy (no corrections): -3.58 eV per atom
- Symmetry: F-43m, No. 216
- Magnetization: 0.000 μB per atom

---

# RbAg3PdO4

A relaxed structure of RbAg3PdO4 (PBE-GGA, OQMD).

```
RbAg3PdO4
1.0
5.587 0.000 0.000
0.000 5.587 0.000
0.000 0.000 5.587
Rb Ag Pd O
1 3 1 4
Cartesian
0.000 0.000 0.000 Rb
0.000 2.793 2.793 Ag
2.793 0.000 2.793 Ag
2.793 2.793 0.000 Ag
2.793 2.793 2.793 Pd
1.592 1.592 1.592 O
1.592 3.995 3.995 O
3.995 1.592 3.995 O
3.995 3.995 1.592 O
```

Output
- Total DFT energy (no corrections): -3.85 eV per atom
- Symmetry: P-43m, No. 215

---

Among the records above, which one has the highest total DFT energy (no corrections)? CsAlTc

---

Among the records above, which one has the highest total DFT energy (no corrections)? CsAlTc